{"formula": "Sc4BCl6", "functional": "meta-GGA SCAN", "state": "single point on PBEsol structure", "lattice": [[11.7461, 0.0000, 0.0000], [0.0000, 12.1573, 0.0000], [0.0000, 0.0000, 3.5451]], "species": ["Sc", "Sc", "Sc", "Sc", "Sc", "Sc", "Sc", "Sc", "B", "B", "Cl", "Cl", "Cl", "Cl", "Cl", "Cl", "Cl", "Cl", "Cl", "Cl", "Cl", "Cl"], "fractional_positions": [[0.1059, 0.0842, 0.0000], [0.1252, 0.8529, 0.5000], [0.3748, 0.3529, 0.5000], [0.3941, 0.5842, 0.0000], [0.6059, 0.4158, 0.0000], [0.6252, 0.6471, 0.5000], [0.8748, 0.1471, 0.5000], [0.8941, 0.9158, 0.0000], [0.0000, 0.0000, 0.5000], [0.5000, 0.5000, 0.5000], [0.0202, 0.7420, 0.0000], [0.2320, 0.1827, 0.5000], [0.2420, 0.4310, 0.0000], [0.2580, 0.9310, 0.0000], [0.2680, 0.6827, 0.5000], [0.4798, 0.2420, 0.0000], [0.5202, 0.7580, 0.0000], [0.7320, 0.3173, 0.5000], [0.7420, 0.0690, 0.0000], [0.7580, 0.5690, 0.0000], [0.7680, 0.8173, 0.5000], [0.9798, 0.2580, 0.0000]], "formation_energy_uncorrected_mev_per_atom": -1978, "sg": "Pbam, No. 55", "final_energy_ev_per_atom": -12.182}